1.
Entry from the Alexandria database: a relaxed structure of PrEuCuS3 (PBE-GGA).

Cell lengths 4.045, 8.101, 15.789 Å; angles 90.00, 90.00, 90.00 degrees
Sites, in units of the cell vectors:
Pr1 0.250 0.251 0.959
Pr2 0.750 0.249 0.459
Pr3 0.750 0.749 0.041
Pr4 0.250 0.751 0.541
S1 0.250 0.510 0.097
S2 0.250 0.179 0.780
S3 0.750 0.121 0.068
S4 0.750 0.990 0.597
S5 0.250 0.679 0.720
S6 0.750 0.321 0.280
S7 0.250 0.379 0.568
S8 0.250 0.879 0.932
S9 0.750 0.621 0.432
S10 0.250 0.010 0.403
S11 0.750 0.490 0.903
S12 0.750 0.821 0.220
Eu1 0.250 0.588 0.283
Eu2 0.250 0.088 0.217
Eu3 0.750 0.412 0.717
Eu4 0.750 0.912 0.783
Cu1 0.750 0.882 0.366
Cu2 0.750 0.382 0.134
Cu3 0.250 0.618 0.866
Cu4 0.250 0.118 0.634

**Energy relative to the elements, uncorrected**: -1.640 eV per atom
**Space-group type**: Pnma, No. 62



2.
Entry from the Alexandria database: a relaxed structure of Na12SrHg6 (PBE-GGA).

Cell lengths 8.792, 8.792, 8.792 Å; angles 103.63, 103.63, 103.63 degrees
Sites, in units of the cell vectors:
Hg1 0.247 0.730 0.247
Hg2 0.753 0.753 0.270
Hg3 0.753 0.270 0.753
Hg4 0.730 0.247 0.247
Hg5 0.247 0.247 0.730
Hg6 0.270 0.753 0.753
Na1 0.887 0.500 0.113
Na2 0.887 0.113 0.500
Na3 0.563 0.563 0.830
Na4 0.563 0.830 0.563
Na5 0.113 0.500 0.887
Na6 0.500 0.113 0.887
Na7 0.830 0.563 0.563
Na8 0.437 0.170 0.437
Na9 0.170 0.437 0.437
Na10 0.500 0.887 0.113
Na11 0.437 0.437 0.170
Na12 0.113 0.887 0.500
Sr1 0.000 0.000 0.000

**Energy relative to the elements**: -0.1307 eV per atom
**Space-group type**: R-3m, No. 166
**Excess energy over the best structure of this formula in the dataset**: 0.037 eV per atom



3.
Entry from the Alexandria database: a relaxed structure of La3Pm4Tl4 (PBE-GGA).

Cell lengths 4.656, 8.691, 10.336 Å; angles 114.86, 103.02, 90.00 degrees
Sites, in units of the cell vectors:
La1 0.110 0.110 0.220
La2 0.000 0.500 0.000
La3 0.890 0.890 0.780
Tl1 0.238 0.738 0.476
Tl2 0.500 0.196 0.000
Tl3 0.762 0.262 0.524
Tl4 0.500 0.804 0.000
Pm1 0.334 0.135 0.668
Pm2 0.666 0.865 0.332
Pm3 0.666 0.468 0.332
Pm4 0.334 0.532 0.668

**Energy relative to the elements**: -0.2262 eV per atom
**Space-group type**: Immm, No. 71



In order of appearance, volume = 21.56; 32.14; 33.42 A^3/atom.